No. 1
The following is a PBE calculation of a geometry-optimized YHo2Tl structure, from Alexandria.

Geometry as CIF:
```
data_YHo2Tl
_chemical_formula_sum 'Y1 Ho2 Tl1'
_cell_length_a 5.456
_cell_length_b 5.456
_cell_length_c 5.456
_cell_angle_alpha 60.00
_cell_angle_beta 60.00
_cell_angle_gamma 60.00
_space_group_name_H-M_alt 'P 1'
_space_group_IT_number 1
_space_group_name_Hall 'P 1'
loop_
_atom_site_label
_atom_site_type_symbol
_atom_site_fract_x
_atom_site_fract_y
_atom_site_fract_z
Y1 Y 0.500 0.500 0.500
Ho1 Ho 0.000 0.000 0.000
Ho2 Ho 0.250 0.250 0.250
Tl1 Tl 0.750 0.750 0.750
```

Values from the calculation:
N(E_F)   5.41 states/eV/f.u.
Energy of formation   -0.0311 eV/atom
Crystal system   cubic

=====

No. 2
The following is a PBE calculation of a geometry-optimized CaSm2Dy3Bi6 structure, from Alexandria.

Geometry as CIF:
```
data_CaSm2Dy3Bi6
_chemical_formula_sum 'Ca1 Sm2 Dy3 Bi6'
_cell_length_a 4.521
_cell_length_b 9.074
_cell_length_c 10.136
_cell_angle_alpha 103.09
_cell_angle_beta 102.89
_cell_angle_gamma 90.00
_space_group_name_H-M_alt 'P 1'
_space_group_IT_number 1
_space_group_name_Hall 'P 1'
loop_
_atom_site_label
_atom_site_type_symbol
_atom_site_fract_x
_atom_site_fract_y
_atom_site_fract_z
Ca1 Ca 0.500 0.000 0.000
Sm1 Sm 0.834 0.669 0.668
Sm2 Sm 0.166 0.331 0.332
Dy1 Dy 0.500 0.500 0.000
Dy2 Dy 0.834 0.166 0.668
Dy3 Dy 0.166 0.834 0.332
Bi1 Bi 0.331 0.920 0.662
Bi2 Bi 0.666 0.586 0.332
Bi3 Bi 0.669 0.080 0.338
Bi4 Bi 0.999 0.256 0.997
Bi5 Bi 0.001 0.744 0.003
Bi6 Bi 0.334 0.414 0.668
```

Values from the calculation:
N(E_F)   3.86 states/eV/f.u.
Energy of formation   -0.8479 eV/atom
Crystal system   monoclinic

=====

No. 3
The following is a PBE calculation of a geometry-optimized PmTmTh2Sb5 structure, from Alexandria.

Geometry as CIF:
```
data_PmTmTh2Sb5
_chemical_formula_sum 'Pm1 Tm1 Th2 Sb5'
_cell_length_a 5.220
_cell_length_b 5.220
_cell_length_c 11.576
_cell_angle_alpha 90.00
_cell_angle_beta 90.00
_cell_angle_gamma 90.00
_space_group_name_H-M_alt 'P 1'
_space_group_IT_number 1
_space_group_name_Hall 'P 1'
loop_
_atom_site_label
_atom_site_type_symbol
_atom_site_fract_x
_atom_site_fract_y
_atom_site_fract_z
Pm1 Pm 0.000 0.000 0.000
Tm1 Tm 0.000 0.000 0.500
Th1 Th 0.500 0.500 0.300
Th2 Th 0.500 0.500 0.700
Sb1 Sb 0.000 0.500 0.500
Sb2 Sb 0.500 0.000 0.500
Sb3 Sb 0.000 0.000 0.749
Sb4 Sb 0.000 0.000 0.251
Sb5 Sb 0.500 0.500 0.000
```

Values from the calculation:
N(E_F)   5.23 states/eV/f.u.
ΔE_f (raw)   -0.244 eV/atom
Crystal system   tetragonal

=====

No. 4
The following is a PBE calculation of a geometry-optimized RbAsPd2 structure, from Alexandria.

Geometry as CIF:
```
data_RbAsPd2
_chemical_formula_sum 'Rb2 As2 Pd4'
_cell_length_a 7.597
_cell_length_b 5.778
_cell_length_c 5.777
_cell_angle_alpha 90.21
_cell_angle_beta 90.00
_cell_angle_gamma 89.99
_space_group_name_H-M_alt 'P 1'
_space_group_IT_number 1
_space_group_name_Hall 'P 1'
loop_
_atom_site_label
_atom_site_type_symbol
_atom_site_fract_x
_atom_site_fract_y
_atom_site_fract_z
Rb1 Rb 0.518 0.061 0.342
Rb2 Rb 0.018 0.561 0.842
As1 As 0.268 0.061 0.843
As2 As 0.768 0.061 0.843
Pd1 Pd 0.018 0.061 0.576
Pd2 Pd 0.018 0.062 0.109
Pd3 Pd 0.518 0.328 0.843
Pd4 Pd 0.518 0.795 0.842
```

Values from the calculation:
N(E_F)   2.50 states/eV/f.u.
Energy of formation   -0.0905 eV/atom
Crystal system   orthorhombic

=====

No. 5
The following is a PBE calculation of a geometry-optimized KMgGe2N structure, from Alexandria.

Geometry as CIF:
```
data_KMgGe2N
_chemical_formula_sum 'K1 Mg1 Ge2 N1'
_cell_length_a 5.339
_cell_length_b 4.026
_cell_length_c 5.339
_cell_angle_alpha 90.00
_cell_angle_beta 90.00
_cell_angle_gamma 90.00
_space_group_name_H-M_alt 'P 1'
_space_group_IT_number 1
_space_group_name_Hall 'P 1'
loop_
_atom_site_label
_atom_site_type_symbol
_atom_site_fract_x
_atom_site_fract_y
_atom_site_fract_z
Mg1 Mg 0.000 0.000 0.000
Ge1 Ge 0.000 0.000 0.500
Ge2 Ge 0.500 0.000 0.000
K1 K 0.500 0.500 0.500
N1 N 0.000 0.500 0.000
```

Values from the calculation:
N(E_F)   2.91 states/eV/f.u.
ΔE_f (raw)   0.760 eV/atom
Crystal system   tetragonal

=====

No. 6
The following is a PBE calculation of a geometry-optimized Sm8TcPd2 structure, from Alexandria.

Geometry as CIF:
```
data_Sm8TcPd2
_chemical_formula_sum 'Sm8 Tc1 Pd2'
_cell_length_a 5.993
_cell_length_b 7.904
_cell_length_c 7.904
_cell_angle_alpha 116.18
_cell_angle_beta 100.95
_cell_angle_gamma 100.95
_space_group_name_H-M_alt 'P 1'
_space_group_IT_number 1
_space_group_name_Hall 'P 1'
loop_
_atom_site_label
_atom_site_type_symbol
_atom_site_fract_x
_atom_site_fract_y
_atom_site_fract_z
Sm1 Sm 0.584 0.333 0.091
Sm2 Sm 0.584 0.091 0.333
Sm3 Sm 0.172 0.366 0.366
Sm4 Sm 0.991 0.204 0.790
Sm5 Sm 0.991 0.790 0.204
Sm6 Sm 0.820 0.645 0.645
Sm7 Sm 0.381 0.912 0.668
Sm8 Sm 0.381 0.668 0.912
Tc1 Tc 0.097 0.011 0.011
Pd1 Pd 0.499 0.705 0.309
Pd2 Pd 0.499 0.309 0.705
```

Values from the calculation:
N(E_F)   10.80 states/eV/f.u.
Energy of formation   -0.1991 eV/atom
Crystal system   monoclinic